No. 1
VASP calculation (GGA-PBE) on HoMg2AlPd4 after structural relaxation.

abc: 4.5752 4.5752 7.9982
angles: 73.38 73.38 60.00
With the nearest neighbours (Å) after each atom.
Atoms (fractional coordinates):
Ho 0.0000 0.0000 0.0000  8 Pd 2.91-2.92
Mg 0.7534 0.7534 0.7399  7 Pd 2.66-2.81
Mg 0.2466 0.2466 0.2601  7 Pd 2.66-2.81
Al 0.5000 0.5000 0.5000  8 Pd 2.56-2.78
Pd 0.3870 0.3870 0.8390  1 Al 2.56, 3 Mg 2.75
Pd 0.8709 0.8709 0.3872  4 Mg 2.66-2.81, 3 Al 2.78, 1 Ho 2.92
Pd 0.1291 0.1291 0.6128  4 Mg 2.66-2.81, 3 Al 2.78, 1 Ho 2.92
Pd 0.6130 0.6130 0.1610  1 Al 2.56, 3 Mg 2.75

Values from the calculation:
DFT total energy: -4.838 eV per atom
Total magnetization: 0.0000 μB/atom

=====

No. 2
VASP calculation (GGA-PBE) on Sr2Li2Ca7 after structural relaxation.

abc: 6.6202 6.6202 10.8087
angles: 92.42 92.42 106.77
With the nearest neighbours (Å) after each atom.
Atoms (fractional coordinates):
Sr 0.7202 0.2798 0.5000  4 Li 3.69-3.71, 4 Ca 3.92-3.94, 2 Sr 4.00
Sr 0.2798 0.7202 0.5000  4 Li 3.69-3.71, 4 Ca 3.92-3.94, 2 Sr 4.00
Li 0.8203 0.8203 0.6455  3 Ca 3.36-3.45, 4 Sr 3.69-3.71
Li 0.1797 0.1797 0.3545  3 Ca 3.36-3.45, 4 Sr 3.69-3.71
Ca 0.1914 0.5602 0.1446  1 Li 3.45, 6 Ca 3.80-3.86
Ca 0.4398 0.8086 0.8554  1 Li 3.45, 6 Ca 3.80-3.86
Ca 0.8086 0.4398 0.8554  1 Li 3.45, 6 Ca 3.80-3.86
Ca 0.5602 0.1914 0.1446  1 Li 3.45, 6 Ca 3.80-3.86
Ca 0.0000 0.0000 0.0000  10 Ca 3.76-3.86, 2 Li 3.99
Ca 0.2419 0.2419 0.7121  1 Li 3.36
Ca 0.7581 0.7581 0.2879  1 Li 3.36

Values from the calculation:
DFT total energy: -1.856 eV per atom
Total magnetization: 0.0000 μB/atom

=====

No. 3
VASP calculation (GGA-PBE) on Sb3PbAu4 after structural relaxation.

abc: 4.1419 7.0989 7.0992
angles: 69.83 89.37 89.37
With the nearest neighbours (Å) after each atom.
Atoms (fractional coordinates):
Pb 0.5000 0.5001 0.0000  6 Au 2.99
Sb 0.5000 0.0001 0.5000  6 Au 2.82-2.83
Sb 0.9999 0.0001 0.0000  6 Au 2.90-2.91
Sb 0.0000 0.5001 0.5000  6 Au 2.90-2.91
Au 0.9999 0.7649 0.7352  4 Sb 2.82-2.91, 2 Pb 2.99
Au 0.4996 0.7569 0.2568  5 Sb 2.83-2.90, 1 Pb 2.99
Au 0.9999 0.2353 0.2648  4 Sb 2.82-2.91, 2 Pb 2.99
Au 0.5003 0.2433 0.7431  5 Sb 2.83-2.90, 1 Pb 2.99

Values from the calculation:
DFT total energy: -3.696 eV per atom
Raw formation energy: -0.05 eV/atom
Total magnetization: 0.0000 μB/atom

=====

No. 4
VASP calculation (GGA-PBE) on La2PrNpP4 after structural relaxation.

abc: 4.1657 7.2274 7.2412
angles: 109.29 90.00 90.00
With the nearest neighbours (Å) after each atom.
Atoms (fractional coordinates):
La 0.5000 0.0000 0.5000  6 P 3.04-3.06
La 0.0000 0.5000 0.5000  6 P 2.96
Pr 0.0000 0.0000 0.0000  6 P 2.94-2.95
Np 0.5000 0.5000 0.0000  6 P 2.84-2.86
P 0.5000 0.2575 0.2395  1 Np 2.84, 2 Pr 2.95, 3 La 2.96-3.06
P 0.5000 0.7425 0.7605  1 Np 2.84, 2 Pr 2.95, 3 La 2.96-3.06
P 0.0000 0.2641 0.7660  2 Np 2.86, 1 Pr 2.94, 3 La 2.96-3.04
P 0.0000 0.7359 0.2340  2 Np 2.86, 1 Pr 2.94, 3 La 2.96-3.04

Values from the calculation:
DFT total energy: -7.506 eV per atom
Total magnetization: 0.4590 μB/atom